Material: AlSiMo
Method: DFT, SCAN
State: PBEsol geometry

Results
M_tot in μB/cell: 0.21
Density of states at the Fermi level in states/eV/atom: 0.695
Crystal system: tetragonal
Raw formation energy in eV per atom: -0.318

Lattice parameters (Å, degrees): 3.1916 3.1916 4.7430 109.66 109.66 90.00
Last column: nearest neighbours and their distance in Å.
Atoms (fractional coordinates):
1 Al 0.0014 0.0014 0.0027  5 Si 2.68-2.73, 5 Mo 2.70
2 Si 0.6739 0.6739 0.3478  4 Mo 2.58, 5 Al 2.68-2.73
3 Mo 0.3247 0.3247 0.6494  4 Si 2.58, 5 Al 2.70

---

Material: Zr2BiAs
Method: DFT, SCAN
State: PBEsol geometry

Results
M_tot in μB/cell: 0.00
Density of states at the Fermi level in states/eV/atom: 0.676
Energy of formation in kcal/mol of atoms: -2.333
Crystal system: tetragonal

Lattice parameters (Å, degrees): 6.2732 6.2732 7.6915 114.07 114.07 90.00
Last column: nearest neighbours and their distance in Å.
Atoms (fractional coordinates):
1 Zr 0.4148 0.8750 0.2500  2 As 2.58, 2 Bi 2.87
2 As 0.5000 0.5000 0.0000  4 Zr 2.58
3 As 0.7500 0.2500 0.5000  4 Zr 2.58
4 Zr 0.6250 0.5852 0.7500  2 As 2.58, 2 Bi 2.87
5 Zr 0.8352 0.3750 0.2500  2 As 2.58, 2 Bi 2.87
6 Bi 0.2500 0.7500 0.5000  4 Zr 2.87
7 Zr 0.1250 0.1648 0.7500  2 As 2.58, 2 Bi 2.87
8 Bi 0.0000 0.0000 0.0000  4 Zr 2.87

---

Material: RbCrCu2H
Method: DFT, SCAN
State: PBEsol geometry

Results
M_tot in μB/cell: 5.98
Density of states at the Fermi level in states/eV/atom: 0.436
Crystal system: tetragonal
Energy relative to the lowest polymorph listed for this composition in meV per atom: 1534

Lattice parameters (Å, degrees): 5.9468 5.9468 6.4584 90.00 90.00 90.00
Last column: nearest neighbours and their distance in Å.
Atoms (fractional coordinates):
1 Cu 0.5000 0.0000 0.0000  2 Rb 2.97
2 Rb 0.0000 0.0000 0.0000  4 Cu 2.97, 2 Cr 3.23
3 Cr 0.0000 0.0000 0.5000  2 Rb 3.23
4 H 0.5000 0.5000 0.5000  4 Cr 4.21, 8 Cu 4.39
5 Cu 0.0000 0.5000 0.0000  2 Rb 2.97

---

Material: CoSb2Pt
Method: DFT, SCAN
State: PBEsol geometry

Results
M_tot in μB/cell: 1.79
Density of states at the Fermi level in states/eV/atom: 0.632
Crystal system: cubic
Raw formation energy in eV per atom: 0.541
Energy relative to the lowest polymorph listed for this composition in meV per atom: 302

Lattice parameters (Å, degrees): 4.7113 4.7113 4.7113 60.00 60.00 60.00
Last column: nearest neighbours and their distance in Å.
Atoms (fractional coordinates):
1 Co 0.5000 0.5000 0.5000  4 Sb 2.89, 4 Pt 2.89
2 Sb 0.0000 0.0000 0.0000  4 Sb 2.89, 4 Pt 2.89
3 Sb 0.2500 0.2500 0.2500  4 Co 2.89, 4 Sb 2.89
4 Pt 0.7500 0.7500 0.7500  4 Sb 2.89, 4 Co 2.89